# CeSmBiSb PBE relaxed
data_CeSmBiSb
_chemical_formula_sum 'Ce1 Sm1 Bi1 Sb1'
_cell_length_a 7.8560
_cell_length_b 7.8560
_cell_length_c 7.8560
_cell_angle_alpha 33.51
_cell_angle_beta 33.51
_cell_angle_gamma 33.51
_symmetry_space_group_name_H-M 'P 1'
_symmetry_Int_Tables_number 1
loop_
_symmetry_equiv_pos_as_xyz
'x,y,z'
loop_
_atom_site_label
_atom_site_fract_x
_atom_site_fract_y
_atom_site_fract_z
Ce1 0.0000 0.0000 0.0000
Sm1 0.5041 0.5041 0.5041
Bi1 0.7521 0.7521 0.7521
Sb1 0.2517 0.2517 0.2517
# - Formation energy without anion corrections: -988 meV per atom
# - DFT total energy: -22.61 eV/cell